No. 1
PrScAlNi2 | GGA-PBE | relaxed

The space group is Imm2 (No. 44) and the conventional cell measures 4.180, 5.305 and 8.293 Å, with angles of 90.00, 90.00 and 90.00 degrees. The inequivalent atoms are Pr at (0.000, 0.000, 0.000), Sc at (0.000, 0.000, 0.595), Al at (0.000, 0.500, 0.799) and Ni at (0.000, 0.266, 0.297).

For the final energy, the calculation gives -5.6577 eV per atom. The density comes out at 5964 kg/m³.

=====

No. 2
Pr2AlSiNi4 | GGA-PBE | relaxed

The space group is P-3m1 (No. 164) and the conventional cell measures 4.0859, 4.0859 and 9.7085 Å, with angles of 90.00, 90.00 and 120.00 degrees. The inequivalent atoms are Pr at (0.3333, 0.6667, 0.2522), Al at (0.0000, 0.0000, 0.0000), Si at (0.0000, 0.0000, 0.5000), Ni at (0.3333, 0.6667, 0.5460) and Ni at (0.3333, 0.6667, 0.9498).

For the final energy, the calculation gives -5.6780 eV per atom. The density comes out at 6763 kg/m³.

=====

No. 3
PrSmAl2Ni4 | GGA-PBE | relaxed

The space group is P-6m2 (No. 187) and the conventional cell measures 4.1669, 4.1669 and 9.3730 Å, with angles of 90.00, 90.00 and 120.00 degrees. The inequivalent atoms are Pr at (0.0000, 0.0000, 0.0000), Sm at (0.6667, 0.3333, 0.5000), Al at (0.3333, 0.6667, 0.2533), Ni at (0.0000, 0.0000, 0.3072) and Ni at (0.6667, 0.3333, 0.1994).

For the final energy, the calculation gives -5.4341 eV per atom. The density comes out at 6834 kg/m³.

=====

No. 4
PrSmAlNi2 | GGA-PBE | relaxed

The space group is Imm2 (No. 44) and the conventional cell measures 4.238, 5.477 and 8.585 Å, with angles of 90.00, 90.00 and 90.00 degrees. The inequivalent atoms are Pr at (0.000, 0.000, 0.000), Sm at (0.000, 0.000, 0.405), Al at (0.000, 0.500, 0.202) and Ni at (0.000, 0.264, 0.703).

For the final energy, the calculation gives -5.3221 eV per atom. The density comes out at 7261 kg/m³.

=====

No. 5
PrSm2Al3Ni3 | GGA-PBE | relaxed

The space group is Amm2 (No. 38) and the conventional cell measures 4.044, 12.092 and 7.035 Å, with angles of 90.00, 90.00 and 90.00 degrees. The inequivalent atoms are Pr at (0.000, 0.000, 0.000), Sm at (0.000, 0.209, 0.628), Al at (0.500, 0.000, 0.647), Al at (0.500, 0.116, 0.307), Ni at (0.000, 0.000, 0.422) and Ni at (0.500, 0.169, 0.918).

For the final energy, the calculation gives -5.2151 eV per atom. The density comes out at 6745 kg/m³.

=====

No. 6
Pr2SmAl2Ni4 | GGA-PBE | relaxed

The space group is C2/m (No. 12) and the conventional cell measures 10.097, 4.150 and 8.339 Å, with angles of 90.00, 98.85 and 90.00 degrees. The inequivalent atoms are Pr at (0.124, 0.000, 0.379), Sm at (0.000, 0.500, 0.000), Al at (0.178, 0.000, 0.790), Ni at (0.085, 0.500, 0.640) and Ni at (0.236, 0.000, 0.085).

For the final energy, the calculation gives -5.3712 eV per atom. The density comes out at 6934 kg/m³.

=====

No. 7
TbPrAl2Ni4 | GGA-PBE | relaxed

The space group is P-6m2 (No. 187) and the conventional cell measures 4.1678, 4.1678 and 9.2499 Å, with angles of 90.00, 90.00 and 120.00 degrees. The inequivalent atoms are Tb at (0.0000, 0.0000, 0.0000), Pr at (0.6667, 0.3333, 0.5000), Al at (0.3333, 0.6667, 0.2402), Ni at (0.0000, 0.0000, 0.2965) and Ni at (0.6667, 0.3333, 0.1842).

For the final energy, the calculation gives -5.4407 eV per atom. The density comes out at 7024 kg/m³.

=====

No. 8
Tb2PrAl3Ni3 | GGA-PBE | relaxed

The space group is Amm2 (No. 38) and the conventional cell measures 3.908, 12.133 and 7.085 Å, with angles of 90.00, 90.00 and 90.00 degrees. The inequivalent atoms are Tb at (0.000, 0.209, 0.000), Pr at (0.000, 0.000, 0.371), Al at (0.500, 0.000, 0.018), Al at (0.500, 0.118, 0.679), Ni at (0.000, 0.000, 0.794) and Ni at (0.500, 0.171, 0.289).

For the final energy, the calculation gives -5.2228 eV per atom. The density comes out at 7076 kg/m³.

=====

Number 5 is which compound? PrSm2Al3Ni3

=====

Which of these has the lowest final energy? Pr2AlSiNi4

=====

What did the second record say?
Pr2AlSiNi4 | GGA-PBE | relaxed

The space group is P-3m1 (No. 164) and the conventional cell measures 4.0859, 4.0859 and 9.7085 Å, with angles of 90.00, 90.00 and 120.00 degrees. The inequivalent atoms are Pr at (0.3333, 0.6667, 0.2522), Al at (0.0000, 0.0000, 0.0000), Si at (0.0000, 0.0000, 0.5000), Ni at (0.3333, 0.6667, 0.5460) and Ni at (0.3333, 0.6667, 0.9498).

For the final energy, the calculation gives -5.6780 eV per atom. The density comes out at 6763 kg/m³.